(one)
Below is a geometry-optimized MgCd2Br structure, with properties calculated at the GGA-PBE level.

Calculated values
Its density is 5.0 g/cm3.

extended XYZ file:
```
4
Lattice="6.242 0.000 0.000 0.000 4.179 0.000 0.000 0.000 4.179" Properties=species:S:1:pos:R:3 pbc="T T T"
Mg 3.121 2.090 0.000
Cd 0.000 2.090 2.090
Cd 0.000 0.000 0.000
Br 3.121 0.000 2.090
```

***

(two)
Below is a geometry-optimized MgCd2Br structure, with properties calculated at the GGA-PBE level.

Calculated values
Its density is 5.1 g/cm3.

extended XYZ file:
```
4
Lattice="-4.214 4.544 -0.430 -2.572 0.256 -5.649 0.847 -3.162 5.279" Properties=species:S:1:pos:R:3 pbc="T T T"
Mg -3.461 2.448 -3.100
Cd -2.708 -0.147 -1.838
Cd -0.094 0.066 -0.084
Br -3.069 1.671 1.184
```

***

Stability check: which of them is least stable? (one).

***

(one)
Below is a geometry-optimized MgCd2Br structure, with properties calculated at the GGA-PBE level.

Calculated values
Its density is 5.3 g/cm3.

extended XYZ file:
```
4
Lattice="6.027 0.059 0.000 2.656 5.410 0.000 -4.342 -2.734 3.162" Properties=species:S:1:pos:R:3 pbc="T T T"
Mg 4.342 2.734 0.000
Cd 0.000 0.000 0.000
Cd 1.328 2.705 1.581
Br 3.013 0.029 1.581
```

***

(two)
Below is a geometry-optimized MgCd2Br structure, with properties calculated at the GGA-PBE level.

Calculated values
Its density is 5.3 g/cm3.

extended XYZ file:
```
4
Lattice="-4.247 -2.053 4.509 3.938 -3.739 -3.619 1.999 -2.670 2.567" Properties=species:S:1:pos:R:3 pbc="T T T"
Cd 0.000 0.000 0.000
Cd -0.155 -2.896 0.445
Br 2.968 -3.205 -0.526
Mg -1.124 -2.362 3.538
```

***

Stability check: which of them is least stable? (one).

***

(one)
Below is a geometry-optimized Mn3CdBr structure, with properties calculated at the GGA-PBE level.

Calculated values
Its density is 5.7 g/cm3.

extended XYZ file:
```
5
Lattice="4.710 0.000 0.000 0.000 4.710 0.000 0.000 0.000 4.710" Properties=species:S:1:pos:R:3 pbc="T T T"
Cd 2.355 2.355 2.355
Br 0.000 0.000 0.000
Mn 2.355 0.000 0.000
Mn 0.000 0.000 2.355
Mn 0.000 2.355 0.000
```

***

(two)
Below is a geometry-optimized Mn3CdBr structure, with properties calculated at the GGA-PBE level.

Calculated values
Its density is 4.2 g/cm3.

extended XYZ file:
```
5
Lattice="-0.156 -1.142 -5.066 -5.005 -1.319 0.452 -1.385 4.894 -1.060" Properties=species:S:1:pos:R:3 pbc="T T T"
Br -3.273 1.217 -2.837
Cd 0.000 0.000 0.000
Mn -0.078 -0.571 -2.533
Mn -2.502 -0.659 0.226
Mn -0.693 2.447 -0.530
```

***

Stability check: which of them is least stable? (two).